Cs2NbI, relaxed, DFT GGA-PBEsol; total moment = 5.89 μB/f.u.; raw formation energy = 648.5 meV per atom; calculated volume = 176.4 Å³ per cell; Fermi-level density of states = 3.7 states/eV/cell
1.0
6.295 0.000 0.000
3.148 5.452 0.000
3.148 1.817 5.140
Cs I Nb
2 1 1
Cartesian
3.148 1.817 1.285
9.443 5.452 3.855
6.295 3.634 2.570
0.000 0.000 0.000

=====

Mg2HgIr, relaxed, DFT GGA-PBEsol; total moment = 0.00 μB/f.u.; ΔE_f = -0.23 eV per atom; calculated volume = 67.2 Å³ per cell; Fermi-level density of states = 1.5 states/eV/cell
1.0
3.200 0.000 0.000
0.000 4.581 0.000
0.000 0.000 4.582
Mg Ir Hg
2 1 1
Cartesian
0.000 0.000 0.566
0.000 2.291 2.872
1.600 2.291 0.581
1.600 0.000 2.854

=====

Y2IF, relaxed, DFT GGA-PBEsol; total moment = 0.00 μB/f.u.; raw formation energy = -1474.5 meV per atom; calculated volume = 189.8 Å³ per cell; Fermi-level density of states = 1.9 states/eV/cell
1.0
-2.104 4.490 3.872
2.711 -4.959 2.763
4.428 2.676 -3.578
I Y F
2 4 2
Cartesian
0.000 0.000 0.000
3.722 -1.258 1.251
2.485 0.126 3.984
2.702 1.965 0.732
5.060 0.394 -1.276
-0.176 1.931 2.674
0.304 -0.234 3.318
1.314 3.466 1.805

=====

Fe2PbCS, relaxed, DFT GGA-PBEsol; total moment = 3.95 μB/f.u.; raw formation energy = 1151.6 meV per atom; calculated volume = 70.4 Å³ per cell; Fermi-level density of states = 5.4 states/eV/cell
1.0
3.712 0.000 0.000
0.000 4.355 0.000
0.000 0.000 4.355
Pb C S Fe
1 1 1 2
Cartesian
1.856 2.177 2.177
1.856 0.000 0.000
0.000 0.000 0.000
0.000 0.000 2.177
0.000 2.177 0.000